Crystalline Li2IBr at its relaxed geometry. Source: Alexandria, functional PBE-GGA.

E_tot ... -12.53 eV/f.u.
Fermi-level density of states ... 0.00 states/eV/cell
E_form (uncorrected) ... -1369 meV/atom
Space group ... No. 160

abc: 4.3689 4.3689 7.5817
angles: 73.25 73.25 60.00
Fractional positions:
Li 0.3538 0.3538 0.9385
Li 0.8678 0.8678 0.3965
I 0.4846 0.4846 0.5461
Br 0.9863 0.9863 0.0412